DFT (PBE-GGA) results for a relaxed structure of Pm4DyHo6.

Calculated values
Energy of formation from the pure elements: 6.9 kcal/mol of atoms
Theoretical density: 7.716 Mg/m³
Calculated total energy: -4.343 eV per atom
E above lowest polymorph: 0 meV/atom
Magnetization: 0.000 μB per cell
Space group: I-42m, No. 121

Lattice parameters (Å, degrees): 9.700 9.700 9.700 57.76 140.06 140.06
Atoms (fractional coordinates):
Pm1 0.622 0.986 0.986
Pm2 0.378 0.364 0.364
Pm3 0.000 0.014 0.636
Pm4 0.000 0.636 0.014
Dy1 0.000 0.000 0.000
Ho1 0.500 0.000 0.500
Ho2 0.356 0.552 0.552
Ho3 0.644 0.196 0.196
Ho4 0.000 0.448 0.804
Ho5 0.500 0.500 0.000
Ho6 0.000 0.804 0.448